# 1
DFT (PBE) results for a relaxed GaSi2SnSe crystal.

Results
The calculation puts the uncorrected energy at -3.27 eV/atom. Its calculated density is 3.790 g cm⁻³. The calculation puts the formation energy from raw total energies at 1.005 eV/atom. The magnetization is 0.00 μB per cell.

Unit cell a=5.2077 b=5.2077 c=5.2277 alpha=90.00 beta=90.00 gamma=90.00
Element x y z (fractional)
Ga: 0.0000 0.0000 0.0000
Si: 0.0000 0.5000 0.5000
Si: 0.5000 0.0000 0.5000
Sn: 0.0000 0.0000 0.5000
Se: 0.5000 0.5000 0.0000

=====

# 2
DFT (PBE) results for a relaxed CeHo3Bi2 crystal.

Results
The calculation puts the uncorrected energy at -5.01 eV/atom. Its calculated density is 9.370 g cm⁻³. The formation enthalpy at 0 K comes out at -442 meV per atom. The magnetization is 2.54 μB per cell.

Unit cell a=9.6189 b=9.6189 c=10.0359 alpha=113.07 beta=113.07 gamma=26.04
Element x y z (fractional)
Ce: 0.1105 0.1105 0.1158
Ce: 0.8895 0.8895 0.8842
Ho: 0.0572 0.0572 0.6688
Ho: 0.3112 0.3112 0.1116
Ho: 0.3623 0.3623 0.5246
Ho: 0.6377 0.6377 0.4754
Ho: 0.6888 0.6888 0.8884
Ho: 0.9428 0.9428 0.3312
Bi: 0.2485 0.2485 0.7107
Bi: 0.4886 0.4886 0.1579
Bi: 0.5114 0.5114 0.8421
Bi: 0.7515 0.7515 0.2893

=====

# 3
DFT (PBE) results for a relaxed Tb2PmPu3S6 crystal.

Results
The calculation puts the uncorrected energy at -8.73 eV/atom. Its calculated density is 8.754 g cm⁻³. The calculation puts the formation energy from raw total energies at -1.916 eV/atom. The magnetization is 16.98 μB per cell.

Unit cell a=8.8579 b=8.8579 c=7.9360 alpha=103.18 beta=103.18 gamma=25.76
Element x y z (fractional)
Tb: 0.1668 0.1668 0.3333
Tb: 0.8332 0.8332 0.6667
Pm: 0.5000 0.5000 0.0000
Pu: 0.1657 0.1657 0.8334
Pu: 0.5000 0.5000 0.5000
Pu: 0.8343 0.8343 0.1666
S: 0.0009 0.0009 0.2558
S: 0.3311 0.3311 0.9140
S: 0.3329 0.3329 0.4177
S: 0.6671 0.6671 0.5823
S: 0.6689 0.6689 0.0860
S: 0.9991 0.9991 0.7442

=====

# 4
DFT (PBE) results for a relaxed Sr2NiPb crystal.

Results
The calculation puts the uncorrected energy at -3.26 eV/atom. Its calculated density is 5.588 g cm⁻³. The formation enthalpy at 0 K comes out at -49 meV per atom. The magnetization is 0.00 μB per cell.

Unit cell a=4.0633 b=4.0633 c=27.5027 alpha=90.00 beta=90.00 gamma=120.00
Element x y z (fractional)
Sr: 0.0000 0.0000 0.2330
Sr: 0.0000 0.0000 0.7670
Sr: 0.3333 0.6667 0.4337
Sr: 0.3333 0.6667 0.8996
Sr: 0.6667 0.3333 0.1004
Sr: 0.6667 0.3333 0.5663
Ni: 0.0000 0.0000 0.5000
Ni: 0.3333 0.6667 0.1667
Ni: 0.6667 0.3333 0.8333
Pb: 0.0000 0.0000 0.0000
Pb: 0.3333 0.6667 0.6667
Pb: 0.6667 0.3333 0.3333

=====

# 5
DFT (PBE) results for a relaxed GdUMnOs crystal.

Results
The calculation puts the uncorrected energy at -11.30 eV/atom. Its calculated density is 13.398 g cm⁻³. The formation enthalpy at 0 K comes out at 143 meV per atom. The magnetization is 26.06 μB per cell.

Unit cell a=6.8221 b=6.8221 c=6.8221 alpha=90.00 beta=90.00 gamma=90.00
Element x y z (fractional)
Gd: 0.0000 0.0000 0.0000
Gd: 0.0000 0.5000 0.5000
Gd: 0.5000 0.0000 0.5000
Gd: 0.5000 0.5000 0.0000
U: 0.0000 0.0000 0.5000
U: 0.0000 0.5000 0.0000
U: 0.5000 0.0000 0.0000
U: 0.5000 0.5000 0.5000
Mn: 0.2500 0.2500 0.2500
Mn: 0.2500 0.7500 0.7500
Mn: 0.7500 0.2500 0.7500
Mn: 0.7500 0.7500 0.2500
Os: 0.2500 0.2500 0.7500
Os: 0.2500 0.7500 0.2500
Os: 0.7500 0.2500 0.2500
Os: 0.7500 0.7500 0.7500

=====

# 6
DFT (PBE) results for a relaxed CsIrN crystal.

Results
The calculation puts the uncorrected energy at -5.04 eV/atom. Its calculated density is 9.794 g cm⁻³. The calculation puts the formation energy from raw total energies at 0.969 eV/atom. The magnetization is 0.00 μB per cell.

Unit cell a=6.1269 b=6.1269 c=6.1269 alpha=90.00 beta=90.00 gamma=90.00
Element x y z (fractional)
Cs: 0.1336 0.1336 0.1336
Cs: 0.3664 0.8664 0.6336
Cs: 0.6336 0.3664 0.8664
Cs: 0.8664 0.6336 0.3664
Ir: 0.1439 0.3561 0.6439
Ir: 0.3561 0.6439 0.1439
Ir: 0.6439 0.1439 0.3561
Ir: 0.8561 0.8561 0.8561
N: 0.1010 0.6010 0.8990
N: 0.3990 0.3990 0.3990
N: 0.6010 0.8990 0.1010
N: 0.8990 0.1010 0.6010

=====

# 7
DFT (PBE) results for a relaxed Ca2AlSi crystal.

Results
The calculation puts the uncorrected energy at -3.15 eV/atom. Its calculated density is 2.294 g cm⁻³. The calculation puts the formation energy from raw total energies at 0.144 eV/atom. The magnetization is 0.00 μB per cell.

Unit cell a=7.3161 b=7.3161 c=7.3161 alpha=90.00 beta=90.00 gamma=90.00
Element x y z (fractional)
Ca: 0.0000 0.0000 0.0000
Ca: 0.0000 0.5000 0.5000
Ca: 0.2500 0.2500 0.2500
Ca: 0.2500 0.7500 0.7500
Ca: 0.5000 0.0000 0.5000
Ca: 0.5000 0.5000 0.0000
Ca: 0.7500 0.2500 0.7500
Ca: 0.7500 0.7500 0.2500
Al: 0.0000 0.0000 0.5000
Al: 0.0000 0.5000 0.0000
Al: 0.5000 0.0000 0.0000
Al: 0.5000 0.5000 0.5000
Si: 0.2500 0.2500 0.7500
Si: 0.2500 0.7500 0.2500
Si: 0.7500 0.2500 0.2500
Si: 0.7500 0.7500 0.7500

=====

# 8
DFT (PBE) results for a relaxed La3Si5Ni6 crystal.

Results
The calculation puts the uncorrected energy at -6.16 eV/atom. Its calculated density is 6.273 g cm⁻³. The calculation puts the formation energy from raw total energies at -0.686 eV/atom. The magnetization is 0.00 μB per cell.

Unit cell a=3.9421 b=11.8081 c=10.3420 alpha=90.00 beta=90.00 gamma=90.00
Element x y z (fractional)
La: 0.2500 0.0888 0.2444
La: 0.2500 0.4112 0.2444
La: 0.2500 0.7500 0.2556
La: 0.7500 0.2500 0.7444
La: 0.7500 0.5888 0.7556
La: 0.7500 0.9112 0.7556
Si: 0.2500 0.0792 0.6212
Si: 0.2500 0.4208 0.6212
Si: 0.2500 0.6375 0.9928
Si: 0.2500 0.7500 0.6043
Si: 0.2500 0.8625 0.9928
Si: 0.7500 0.1375 0.0072
Si: 0.7500 0.2500 0.3957
Si: 0.7500 0.3625 0.0072
Si: 0.7500 0.5792 0.3788
Si: 0.7500 0.9208 0.3788
Ni: 0.2500 0.0483 0.9267
Ni: 0.2500 0.2500 0.5087
Ni: 0.2500 0.2500 0.9953
Ni: 0.2500 0.4517 0.9267
Ni: 0.2500 0.5806 0.4950
Ni: 0.2500 0.9194 0.4950
Ni: 0.7500 0.0806 0.5050
Ni: 0.7500 0.4194 0.5050
Ni: 0.7500 0.5483 0.0733
Ni: 0.7500 0.7500 0.0047
Ni: 0.7500 0.7500 0.4913
Ni: 0.7500 0.9517 0.0733